(1)
Here is a geometry-optimized Ba2NpPdS6 structure from Alexandria. Energies are from PBE.

Calculated values
E_form (uncorrected) = -1.284 eV/atom
Electronic total energy = -5.96 eV per atom

Unit cell a=6.9661 b=6.9661 c=36.1020 alpha=90.00 beta=90.00 gamma=120.00
With the nearest neighbours (Å) after each atom.
Space group R-3m (No. 166, hexagonal axes)
One atom of each set of equivalent atoms:
Ba (0.0000, 0.0000, 0.1276) (multiplicity 6)  12 S 3.48-3.69
Ba (0.0000, 0.0000, 0.2990) (multiplicity 6)  9 S 3.41-3.49
Np (0.0000, 0.0000, 0.4144) (multiplicity 6)  6 S 2.53-2.60
Pd (0.0000, 0.0000, 0.0000) (multiplicity 3)  6 S 2.44
Pd (0.0000, 0.0000, 0.5000) (multiplicity 3)  6 S 2.46
S (0.0019, 0.5009, 0.1270) (multiplicity 18)  1 Pd 2.46, 1 Np 2.60
S (0.0104, 0.5052, 0.7075) (multiplicity 18)  1 Pd 2.44, 1 Np 2.53

(2)
Here is a geometry-optimized ScZnIrO6 structure from Alexandria. Energies are from PBE.

Calculated values
E_form (uncorrected) = -1.429 eV/atom
Electronic total energy = -6.56 eV per atom

Unit cell a=5.2176 b=5.2176 c=8.8157 alpha=90.00 beta=90.00 gamma=120.00
With the nearest neighbours (Å) after each atom.
Space group P-31c (No. 163)
One atom of each set of equivalent atoms:
Sc (0.3333, 0.6667, 0.2500) (multiplicity 2)  6 O 2.09
Zn (0.0000, 0.0000, 0.0000) (multiplicity 2)  6 O 2.14
Ir (0.3333, 0.6667, 0.7500) (multiplicity 2)  6 O 1.93
O (0.0241, 0.3608, 0.6281) (multiplicity 12)  1 Ir 1.93, 1 Sc 2.09, 1 Zn 2.14

(3)
Here is a geometry-optimized HfSiBr3 structure from Alexandria. Energies are from PBE.

Calculated values
E_form (uncorrected) = 0.028 eV/atom
Electronic total energy = -4.05 eV per atom

Unit cell a=5.2866 b=5.2866 c=5.2866 alpha=90.00 beta=90.00 gamma=90.00
With the nearest neighbours (Å) after each atom.
Space group Pm-3m (No. 221)
One atom of each set of equivalent atoms:
Hf (0.0000, 0.0000, 0.0000) (multiplicity 1)  6 Br 2.64
Si (0.5000, 0.5000, 0.5000) (multiplicity 1)  12 Br 3.74
Br (0.0000, 0.0000, 0.5000) (multiplicity 3)  2 Hf 2.64

| no. | size of the total moment (Bohr magnetons per cell) |
| --- | --- |
| 1 | 18.09 |
| 2 | 2.15 |
| 3 | 2.07 |